(1)
A relaxed SiP2Br crystal. Source: Alexandria, functional GGA-PBE.

Values from the calculation:
Relative energy among the computed polymorphs (meV per atom): 293.1
Raw total energy (eV per atom): -4.12
Volume (Å³/atom): 22.3

Lattice parameters (Å, degrees): 9.742 3.286 5.582 90.00 92.79 90.00
Fractional positions:
Si (0.000, 0.000, 0.000)
Si (0.500, 0.500, 0.000)
P (0.173, 0.500, 0.921)
P (0.327, 0.000, 0.079)
P (0.673, 0.000, 0.921)
P (0.827, 0.500, 0.079)
Br (0.000, 0.500, 0.500)
Br (0.500, 0.000, 0.500)

---

(2)
A relaxed SiP2Br crystal. Source: Alexandria, functional GGA-PBE.

Values from the calculation:
Relative energy among the computed polymorphs (meV per atom): 0.0
Raw total energy (eV per atom): -4.41
Volume (Å³/atom): 20.5

Lattice parameters (Å, degrees): 4.431 3.612 5.366 90.00 107.45 90.00
Fractional positions:
Si (0.000, 0.000, 0.000)
P (0.373, 0.500, 0.139)
P (0.627, 0.500, 0.861)
Br (0.000, 0.000, 0.500)

---

(3)
A relaxed SiP2Br crystal. Source: Alexandria, functional GGA-PBE.

Values from the calculation:
Relative energy among the computed polymorphs (meV per atom): 723.1
Raw total energy (eV per atom): -3.69
Volume (Å³/atom): 19.9

Lattice parameters (Å, degrees): 4.791 12.331 2.691 90.00 90.00 90.00
Fractional positions:
Si (0.000, 0.000, 0.000)
Si (0.500, 0.500, 0.000)
P (0.250, 0.250, 0.500)
P (0.250, 0.750, 0.500)
P (0.750, 0.250, 0.500)
P (0.750, 0.750, 0.500)
Br (0.000, 0.500, 0.000)
Br (0.500, 0.000, 0.000)

---

(4)
A relaxed SiP2Br crystal. Source: Alexandria, functional GGA-PBE.

Values from the calculation:
Relative energy among the computed polymorphs (meV per atom): 865.4
Raw total energy (eV per atom): -3.55
Volume (Å³/atom): 17.5

Lattice parameters (Å, degrees): 4.805 4.805 3.025 90.00 90.00 90.00
Fractional positions:
Si (0.000, 0.000, 0.000)
P (0.000, 0.500, 0.500)
P (0.500, 0.000, 0.500)
Br (0.500, 0.500, 0.000)

---

(5)
A relaxed SiPBr crystal. Source: Alexandria, functional GGA-PBE.

Values from the calculation:
Relative energy among the computed polymorphs (meV per atom): 0.0
Raw total energy (eV per atom): -4.55
Volume (Å³/atom): 28.4

Lattice parameters (Å, degrees): 6.379 8.922 5.979 90.00 90.00 90.00
Fractional positions:
Si (0.092, 0.099, 0.000)
Si (0.408, 0.099, 0.500)
Si (0.592, 0.901, 0.000)
Si (0.908, 0.901, 0.500)
P (0.071, 0.111, 0.619)
P (0.429, 0.111, 0.119)
P (0.571, 0.889, 0.619)
P (0.929, 0.889, 0.119)
Br (0.033, 0.676, 0.604)
Br (0.467, 0.676, 0.104)
Br (0.533, 0.324, 0.604)
Br (0.967, 0.324, 0.104)

---

(6)
A relaxed SiP2Br crystal. Source: Alexandria, functional GGA-PBE.

Values from the calculation:
Relative energy among the computed polymorphs (meV per atom): 344.3
Raw total energy (eV per atom): -4.07
Volume (Å³/atom): 20.5

Lattice parameters (Å, degrees): 3.140 3.140 8.297 90.00 90.00 90.00
Fractional positions:
Si (0.000, 0.000, 0.000)
P (0.000, 0.000, 0.655)
P (0.500, 0.500, 0.777)
Br (0.500, 0.500, 0.216)